# RbH2PdCl8

A relaxed RbH2PdCl8 crystal (PBE-GGA, Alexandria).

Computed properties:
Calculated total energy in eV/atom: -2.91

Cell lengths 6.0284, 6.8634, 9.2241 Å; angles 87.28, 77.01, 67.44 degrees
With the nearest neighbours (Å) after each atom.
Fractional coordinates of all 12 atoms:
1 Rb 0.0000 0.0000 0.0000  6 Cl 3.36-3.47, 2 H 3.47
2 H 0.4917 0.7145 0.1595  1 Cl 1.33
3 H 0.5083 0.2855 0.8405  1 Cl 1.33
4 Pd 0.0000 0.0000 0.5000  6 Cl 2.34-2.36
5 Cl 0.1686 0.7346 0.3084  1 H 2.08
6 Cl 0.1769 0.7477 0.6651  1 Pd 2.35
7 Cl 0.3311 0.1070 0.4239  1 Pd 2.34
8 Cl 0.3381 0.3165 0.9664  1 H 1.33
9 Cl 0.6619 0.6835 0.0336  1 H 1.33
10 Cl 0.6689 0.8930 0.5761  1 Pd 2.34
11 Cl 0.8231 0.2523 0.3349  1 Pd 2.35
12 Cl 0.8314 0.2654 0.6916  1 H 2.08

---

# Rb2H2PdCl4

A relaxed Rb2H2PdCl4 crystal (PBE-GGA, Alexandria).

Computed properties:
Calculated total energy in eV/atom: -3.43

Cell lengths 6.8826, 6.8826, 6.8826 Å; angles 112.83, 112.83, 102.95 degrees
With the nearest neighbours (Å) after each atom.
Fractional coordinates of all 9 atoms:
1 Rb 0.2500 0.7500 0.5000  8 Cl 3.46
2 Rb 0.7500 0.2500 0.5000  8 Cl 3.46
3 H 0.0437 0.0437 0.0000  1 H 0.75
4 H 0.9563 0.9563 0.0000  1 H 0.75
5 Pd 0.5000 0.5000 0.0000  4 Cl 2.33
6 Cl 0.2838 0.2838 0.5676  1 Pd 2.33
7 Cl 0.2838 0.7162 0.0000  1 Pd 2.33
8 Cl 0.7162 0.2838 0.0000  1 Pd 2.33
9 Cl 0.7162 0.7162 0.4324  1 Pd 2.33

---

# HPdS2Cl

A relaxed HPdS2Cl crystal (PBE-GGA, Alexandria).

Computed properties:
Calculated total energy in eV/atom: -3.21
E above lowest polymorph in eV per atom: 0.0000

Cell lengths 3.5615, 3.5615, 7.4482 Å; angles 90.00, 90.00, 90.00 degrees
With the nearest neighbours (Å) after each atom.
Fractional coordinates of all 5 atoms:
1 H 0.0000 0.0000 0.0000  4 S 1.78
2 Pd 0.5000 0.5000 0.5000  4 Cl 2.52
3 S 0.0000 0.5000 0.0000  2 H 1.78
4 S 0.5000 0.0000 0.0000  2 H 1.78
5 Cl 0.0000 0.0000 0.5000  4 Pd 2.52

---

# HPdSCl2

A relaxed HPdSCl2 crystal (PBE-GGA, Alexandria).

Computed properties:
Calculated total energy in eV/atom: -2.68
E above lowest polymorph in eV per atom: 0.0439

Cell lengths 5.0317, 5.0317, 3.2051 Å; angles 90.00, 90.00, 90.00 degrees
With the nearest neighbours (Å) after each atom.
Fractional coordinates of all 5 atoms:
1 H 0.0000 0.0000 0.0000  2 S 1.60
2 Pd 0.5000 0.5000 0.5000  8 Cl 2.98, 2 Pd 3.21
3 S 0.0000 0.0000 0.5000  2 H 1.60
4 Cl 0.0000 0.5000 0.0000  2 H 2.52
5 Cl 0.5000 0.0000 0.0000  2 H 2.52

---

# HPdSCl2

A relaxed HPdSCl2 crystal (PBE-GGA, Alexandria).

Computed properties:
Calculated total energy in eV/atom: -2.72
E above lowest polymorph in eV per atom: 0.0000

Cell lengths 5.0043, 5.0043, 4.5279 Å; angles 90.00, 90.00, 90.00 degrees
With the nearest neighbours (Å) after each atom.
Fractional coordinates of all 5 atoms:
1 H 0.0000 0.0000 0.0000  8 Cl 3.37, 4 S 3.54
2 Pd 0.5000 0.5000 0.5000  2 S 2.26, 4 Cl 2.50
3 S 0.5000 0.5000 0.0000  2 Pd 2.26
4 Cl 0.0000 0.5000 0.5000  2 Pd 2.50
5 Cl 0.5000 0.0000 0.5000  2 Pd 2.50

---

# HPdS2Cl

A relaxed HPdS2Cl crystal (PBE-GGA, Alexandria).

Computed properties:
Calculated total energy in eV/atom: -2.90
E above lowest polymorph in eV per atom: 0.3120

Cell lengths 4.6970, 4.6970, 5.1023 Å; angles 90.00, 90.00, 90.00 degrees
With the nearest neighbours (Å) after each atom.
Fractional coordinates of all 5 atoms:
1 H 0.0000 0.0000 0.0000  4 Cl 3.32, 8 S 3.47
2 Pd 0.5000 0.5000 0.5000  4 S 2.35, 2 Cl 2.55
3 S 0.0000 0.5000 0.5000  2 Pd 2.35
4 S 0.5000 0.0000 0.5000  2 Pd 2.35
5 Cl 0.5000 0.5000 0.0000  2 Pd 2.55

---

calculated total energy of number 6 (HPdS2Cl)? -2.90 eV/atom

---

Repeat the fifth record exactly.
# HPdSCl2

A relaxed HPdSCl2 crystal (PBE-GGA, Alexandria).

Computed properties:
Calculated total energy in eV/atom: -2.72
E above lowest polymorph in eV per atom: 0.0000

Cell lengths 5.0043, 5.0043, 4.5279 Å; angles 90.00, 90.00, 90.00 degrees
With the nearest neighbours (Å) after each atom.
Fractional coordinates of all 5 atoms:
1 H 0.0000 0.0000 0.0000  8 Cl 3.37, 4 S 3.54
2 Pd 0.5000 0.5000 0.5000  2 S 2.26, 4 Cl 2.50
3 S 0.5000 0.5000 0.0000  2 Pd 2.26
4 Cl 0.0000 0.5000 0.5000  2 Pd 2.50
5 Cl 0.5000 0.0000 0.5000  2 Pd 2.50

---

Repeat the sixth record exactly.
# HPdS2Cl

A relaxed HPdS2Cl crystal (PBE-GGA, Alexandria).

Computed properties:
Calculated total energy in eV/atom: -2.90
E above lowest polymorph in eV per atom: 0.3120

Cell lengths 4.6970, 4.6970, 5.1023 Å; angles 90.00, 90.00, 90.00 degrees
With the nearest neighbours (Å) after each atom.
Fractional coordinates of all 5 atoms:
1 H 0.0000 0.0000 0.0000  4 Cl 3.32, 8 S 3.47
2 Pd 0.5000 0.5000 0.5000  4 S 2.35, 2 Cl 2.55
3 S 0.0000 0.5000 0.5000  2 Pd 2.35
4 S 0.5000 0.0000 0.5000  2 Pd 2.35
5 Cl 0.5000 0.5000 0.0000  2 Pd 2.55